Arrangement P

A plane-wave DFT calculation with PBE-GGA was carried out for a relaxed Bi2AsO6 crystal.

Geometry as POSCAR:
```
Bi2AsO6
1.0
5.387 0.000 0.000
0.000 6.020 0.000
-4.957 0.000 7.554
Bi As O
4 2 12
Cartesian
0.022 0.469 1.876 Bi
-2.457 2.541 5.653 Bi
2.887 3.479 1.901 Bi
0.408 5.551 5.678 Bi
2.693 0.000 0.000 As
0.215 3.010 3.777 As
-3.870 0.881 7.234 O
-1.392 2.129 3.457 O
-3.040 4.379 7.083 O
-0.562 4.651 3.305 O
-1.717 0.317 5.804 O
0.761 2.693 2.027 O
-0.331 3.327 5.527 O
2.147 5.703 1.750 O
0.992 1.369 4.249 O
3.470 1.641 0.472 O
1.822 3.890 4.097 O
4.300 5.139 0.320 O
```

Output
Symmetry   P2_1/c (14)

***

Arrangement Q

A plane-wave DFT calculation with PBE-GGA was carried out for a relaxed Bi2AsO6 crystal.

Geometry as POSCAR:
```
Bi2AsO6
1.0
7.209 0.000 0.000
0.000 7.079 0.000
-3.462 0.000 10.274
Bi As O
8 4 24
Cartesian
-0.387 0.929 3.260 Bi
-2.118 2.610 8.398 Bi
-0.099 4.239 5.384 Bi
1.632 6.379 0.247 Bi
2.115 0.700 10.027 Bi
3.846 2.840 4.890 Bi
5.865 4.469 1.877 Bi
4.134 6.149 7.014 Bi
0.326 0.500 6.925 As
2.057 3.039 1.787 As
1.690 4.040 8.487 As
3.421 6.579 3.350 As
-2.088 4.033 6.354 O
-0.357 6.586 1.217 O
-2.487 4.979 8.838 O
-0.756 5.639 3.700 O
1.071 4.393 1.325 O
-0.660 6.225 6.462 O
0.357 1.554 5.564 O
2.088 1.986 0.427 O
-0.420 1.024 8.395 O
1.311 2.516 3.258 O
0.108 3.661 7.960 O
1.839 6.957 2.823 O
1.908 0.122 7.452 O
3.639 3.418 2.315 O
2.436 4.563 7.017 O
4.166 6.055 1.879 O
1.658 5.093 9.848 O
3.389 5.525 4.711 O
4.407 0.854 3.812 O
2.676 2.685 8.950 O
4.503 1.439 6.574 O
6.234 2.100 1.437 O
4.104 0.493 9.057 O
5.835 3.046 3.920 O
```

Output
Symmetry   P2_1/c (14)

***

Need the numbers? Relative energies in meV per atom: arrangement P 12; arrangement Q 0.

***

Arrangement P

A plane-wave DFT calculation with PBE-GGA was carried out for a relaxed BiAsO2 crystal.

Geometry as POSCAR:
```
BiAsO2
1.0
1.745 1.007 6.730
-1.745 1.007 6.730
0.000 -2.014 6.730
Bi As O
1 1 2
Cartesian
0.000 0.000 0.000 Bi
0.000 0.000 10.095 As
0.000 0.000 8.002 O
0.000 0.000 12.189 O
```

Output
Symmetry   R-3m (166)

***

Arrangement Q

A plane-wave DFT calculation with PBE-GGA was carried out for a relaxed BiAsO2 crystal.

Geometry as POSCAR:
```
BiAsO2
1.0
-2.756 2.756 4.917
2.756 -2.756 4.917
2.756 2.756 -4.917
Bi As O
2 2 4
Cartesian
0.000 0.000 0.000 Bi
0.000 2.756 2.458 Bi
2.756 0.000 2.458 As
0.000 0.000 4.917 As
1.378 -0.738 3.688 O
2.018 1.378 1.229 O
1.378 3.494 -1.229 O
0.738 1.378 6.146 O
```

Output
Symmetry   I-42d (122)

***

Arrangement R

A plane-wave DFT calculation with PBE-GGA was carried out for a relaxed BiAsO2 crystal.

Geometry as POSCAR:
```
BiAsO2
1.0
-3.298 3.298 6.024
3.298 -3.298 6.024
3.298 3.298 -6.024
Bi As O
4 4 8
Cartesian
0.000 0.000 0.000 Bi
1.649 1.649 -3.012 Bi
1.649 -1.649 3.012 Bi
0.000 3.298 0.000 Bi
3.298 0.000 0.000 As
-1.649 1.649 3.012 As
0.000 0.000 6.024 As
1.649 1.649 3.012 As
1.800 1.649 -0.571 O
4.795 1.649 -0.571 O
0.000 0.152 2.442 O
3.298 0.152 3.583 O
0.000 3.146 2.442 O
3.298 3.146 3.583 O
-1.497 1.649 6.595 O
1.497 1.649 6.595 O
```

Output
Symmetry   I4_1/amd (141)

***

Arrangement S

A plane-wave DFT calculation with PBE-GGA was carried out for a relaxed BiAsO2 crystal.

Geometry as POSCAR:
```
BiAsO2
1.0
0.000 3.068 3.068
3.068 0.000 3.068
3.068 3.068 0.000
Bi As O
1 1 2
Cartesian
0.000 0.000 0.000 Bi
3.068 3.068 3.068 As
1.534 1.534 1.534 O
4.602 4.602 4.602 O
```

Output
Symmetry   Fm-3m (225)

***

Need the numbers? Relative energies in meV per atom: arrangement P 0; arrangement Q 269; arrangement R 200; arrangement S 593.

***

Arrangement P

A plane-wave DFT calculation with PBE-GGA was carried out for a relaxed BiAs3O crystal.

Geometry as POSCAR:
```
BiAs3O
1.0
4.575 0.000 0.000
0.000 4.575 0.000
0.000 0.000 4.575
Bi As O
1 3 1
Cartesian
0.000 0.000 0.000 Bi
0.000 2.287 2.287 As
2.287 0.000 2.287 As
2.287 2.287 0.000 As
2.287 2.287 2.287 O
```

Output
Symmetry   Pm-3m (221)

***

Arrangement Q

A plane-wave DFT calculation with PBE-GGA was carried out for a relaxed BiAs3O crystal.

Geometry as POSCAR:
```
BiAs3O
1.0
5.470 0.000 0.000
0.000 5.470 0.000
0.000 0.000 5.470
Bi As O
1 3 1
Cartesian
0.000 0.000 0.000 Bi
0.000 0.000 2.735 As
0.000 2.735 0.000 As
2.735 0.000 0.000 As
2.735 2.735 2.735 O
```

Output
Symmetry   Pm-3m (221)

***

Need the numbers? Relative energies in meV per atom: arrangement P 0; arrangement Q 1524.

***

Arrangement P

A plane-wave DFT calculation with PBE-GGA was carried out for a relaxed BiAsPO2 crystal.

Geometry as POSCAR:
```
BiAsPO2
1.0
4.118 0.000 0.000
0.000 4.118 0.000
0.000 0.000 5.733
Bi As P O
1 1 1 2
Cartesian
0.000 0.000 0.000 Bi
2.059 2.059 2.866 As
0.000 0.000 2.866 P
0.000 2.059 0.000 O
2.059 0.000 0.000 O
```

Output
Symmetry   P4/mmm (123)

***

Arrangement Q

A plane-wave DFT calculation with PBE-GGA was carried out for a relaxed BiAsPO2 crystal.

Geometry as POSCAR:
```
BiAsPO2
1.0
3.835 0.000 0.000
0.000 3.835 0.000
0.000 0.000 6.276
Bi As P O
1 1 1 2
Cartesian
0.000 0.000 0.000 Bi
0.000 0.000 3.138 As
1.918 1.918 0.000 P
0.000 1.918 3.138 O
1.918 0.000 3.138 O
```

Output
Symmetry   P4/mmm (123)

***

Need the numbers? Relative energies in meV per atom: arrangement P 205; arrangement Q 0.

***

Arrangement P

A plane-wave DFT calculation with PBE-GGA was carried out for a relaxed BiAsP2O crystal.

Geometry as POSCAR:
```
BiAsP2O
1.0
5.273 0.000 0.000
0.000 5.273 0.000
0.000 0.000 4.114
Bi As P O
1 1 2 1
Cartesian
0.000 0.000 0.000 Bi
2.637 2.637 2.057 As
0.000 2.637 0.000 P
2.637 0.000 0.000 P
0.000 0.000 2.057 O
```

Output
Symmetry   P4/mmm (123)

***

Arrangement Q

A plane-wave DFT calculation with PBE-GGA was carried out for a relaxed BiAsP2O crystal.

Geometry as POSCAR:
```
BiAsP2O
1.0
4.934 0.000 0.000
0.000 4.934 0.000
0.000 0.000 3.783
Bi As P O
1 1 2 1
Cartesian
0.000 0.000 0.000 Bi
2.467 2.467 1.892 As
0.000 2.467 1.892 P
2.467 0.000 1.892 P
2.467 2.467 0.000 O
```

Output
Symmetry   P4/mmm (123)

***

Need the numbers? Relative energies in meV per atom: arrangement P 662; arrangement Q 0.

***

Arrangement P

A plane-wave DFT calculation with PBE-GGA was carried out for a relaxed BiAsSe2O crystal.

Geometry as POSCAR:
```
BiAsSe2O
1.0
4.688 0.000 0.000
0.000 4.688 0.000
0.000 0.000 4.478
Bi As Se O
1 1 2 1
Cartesian
0.000 0.000 0.000 Bi
2.344 2.344 0.000 As
0.000 2.344 2.239 Se
2.344 0.000 2.239 Se
2.344 2.344 2.239 O
```

Output
Symmetry   P4/mmm (123)

***

Arrangement Q

A plane-wave DFT calculation with PBE-GGA was carried out for a relaxed BiAsSe2O crystal.

Geometry as POSCAR:
```
BiAsSe2O
1.0
5.415 0.000 0.000
0.000 5.415 0.000
0.000 0.000 5.645
Bi As Se O
1 1 2 1
Cartesian
0.000 0.000 0.000 Bi
0.000 0.000 2.822 As
0.000 2.707 0.000 Se
2.707 0.000 0.000 Se
2.707 2.707 2.822 O
```

Output
Symmetry   P4/mmm (123)

***

Need the numbers? Relative energies in meV per atom: arrangement P 0; arrangement Q 1189.

***

Arrangement P

A plane-wave DFT calculation with PBE-GGA was carried out for a relaxed Bi3AsOs crystal.

Geometry as POSCAR:
```
Bi3AsOs
1.0
5.418 0.000 0.000
0.000 5.418 0.000
0.000 0.000 5.418
Bi As Os
3 1 1
Cartesian
0.000 0.000 2.709 Bi
0.000 2.709 0.000 Bi
2.709 0.000 0.000 Bi
0.000 0.000 0.000 As
2.709 2.709 2.709 Os
```

Output
Symmetry   Pm-3m (221)

***

Arrangement Q

A plane-wave DFT calculation with PBE-GGA was carried out for a relaxed Bi3AsOs crystal.

Geometry as POSCAR:
```
Bi3AsOs
1.0
5.295 0.000 0.000
0.000 5.295 0.000
0.000 0.000 5.295
Bi As Os
3 1 1
Cartesian
0.000 0.000 2.647 Bi
0.000 2.647 0.000 Bi
2.647 0.000 0.000 Bi
2.647 2.647 2.647 As
0.000 0.000 0.000 Os
```

Output
Symmetry   Pm-3m (221)

***

Need the numbers? Relative energies in meV per atom: arrangement P 796; arrangement Q 0.

***

Arrangement P

A plane-wave DFT calculation with PBE-GGA was carried out for a relaxed BiAsP2 crystal.

Geometry as POSCAR:
```
BiAsP2
1.0
-3.097 3.097 6.049
3.097 -3.097 6.049
3.097 3.097 -6.049
Bi As P
2 2 4
Cartesian
0.000 0.000 0.000 Bi
0.000 3.097 3.024 Bi
3.097 0.000 3.024 As
0.000 0.000 6.049 As
1.548 -1.239 4.537 P
1.857 1.548 1.512 P
1.548 4.336 -1.512 P
1.239 1.548 7.561 P
```

Output
Symmetry   I-42d (122)

***

Arrangement Q

A plane-wave DFT calculation with PBE-GGA was carried out for a relaxed BiAsP2 crystal.

Geometry as POSCAR:
```
BiAsP2
1.0
0.000 3.434 3.434
3.434 0.000 3.434
3.434 3.434 0.000
Bi As P
1 1 2
Cartesian
0.000 0.000 0.000 Bi
3.434 3.434 3.434 As
1.717 1.717 1.717 P
5.151 5.151 5.151 P
```

Output
Symmetry   Fm-3m (225)

***

Need the numbers? Relative energies in meV per atom: arrangement P 0; arrangement Q 196.

***

Arrangement P

A plane-wave DFT calculation with PBE-GGA was carried out for a relaxed BiAsP3 crystal.

Geometry as POSCAR:
```
BiAsP3
1.0
4.761 0.000 0.000
0.000 4.761 0.000
0.000 0.000 4.761
Bi As P
1 1 3
Cartesian
0.000 0.000 0.000 Bi
2.381 2.381 2.381 As
0.000 2.381 2.381 P
2.381 0.000 2.381 P
2.381 2.381 0.000 P
```

Output
Symmetry   Pm-3m (221)

***

Arrangement Q

A plane-wave DFT calculation with PBE-GGA was carried out for a relaxed BiAsP3 crystal.

Geometry as POSCAR:
```
BiAsP3
1.0
5.192 0.000 0.000
0.000 5.192 0.000
0.000 0.000 5.192
Bi As P
1 1 3
Cartesian
0.000 0.000 0.000 Bi
2.596 2.596 2.596 As
0.000 0.000 2.596 P
0.000 2.596 0.000 P
2.596 0.000 0.000 P
```

Output
Symmetry   Pm-3m (221)

***

Need the numbers? Relative energies in meV per atom: arrangement P 0; arrangement Q 830.

***

Arrangement P

A plane-wave DFT calculation with PBE-GGA was carried out for a relaxed BiAs3P crystal.

Geometry as POSCAR:
```
BiAs3P
1.0
4.843 0.000 0.000
0.000 4.843 0.000
0.000 0.000 4.843
Bi As P
1 3 1
Cartesian
0.000 0.000 0.000 Bi
0.000 2.421 2.421 As
2.421 0.000 2.421 As
2.421 2.421 0.000 As
2.421 2.421 2.421 P
```

Output
Symmetry   Pm-3m (221)

***

Arrangement Q

A plane-wave DFT calculation with PBE-GGA was carried out for a relaxed BiAs3P crystal.

Geometry as POSCAR:
```
BiAs3P
1.0
5.394 0.000 0.000
0.000 5.394 0.000
0.000 0.000 5.394
Bi As P
1 3 1
Cartesian
0.000 0.000 0.000 Bi
0.000 0.000 2.697 As
0.000 2.697 0.000 As
2.697 0.000 0.000 As
2.697 2.697 2.697 P
```

Output
Symmetry   Pm-3m (221)

***

Need the numbers? Relative energies in meV per atom: arrangement P 0; arrangement Q 1046.

***

Arrangement P

A plane-wave DFT calculation with PBE-GGA was carried out for a relaxed Bi2AsPPt crystal.

Geometry as POSCAR:
```
Bi2AsPPt
1.0
5.496 0.000 0.000
0.000 5.496 0.000
0.000 0.000 4.498
Bi As P Pt
2 1 1 1
Cartesian
0.000 2.748 0.000 Bi
2.748 0.000 0.000 Bi
0.000 0.000 0.000 As
0.000 0.000 2.249 P
2.748 2.748 2.249 Pt
```

Output
Symmetry   P4/mmm (123)

***

Arrangement Q

A plane-wave DFT calculation with PBE-GGA was carried out for a relaxed Bi2AsPPt crystal.

Geometry as POSCAR:
```
Bi2AsPPt
1.0
5.636 0.000 0.000
0.000 5.636 0.000
0.000 0.000 4.511
Bi As P Pt
2 1 1 1
Cartesian
0.000 2.818 0.000 Bi
2.818 0.000 0.000 Bi
0.000 0.000 2.256 As
2.818 2.818 2.256 P
0.000 0.000 0.000 Pt
```

Output
Symmetry   P4/mmm (123)

***

Need the numbers? Relative energies in meV per atom: arrangement P 338; arrangement Q 0.

***

Arrangement P

A plane-wave DFT calculation with PBE-GGA was carried out for a relaxed BiAs2PRh crystal.

Geometry as POSCAR:
```
BiAs2PRh
1.0
4.918 0.000 0.000
0.000 4.918 0.000
0.000 0.000 4.458
Bi As P Rh
1 2 1 1
Cartesian
0.000 0.000 0.000 Bi
0.000 2.459 2.229 As
2.459 0.000 2.229 As
2.459 2.459 2.229 P
2.459 2.459 0.000 Rh
```

Output
Symmetry   P4/mmm (123)

***

Arrangement Q

A plane-wave DFT calculation with PBE-GGA was carried out for a relaxed BiAs2PRh crystal.

Geometry as POSCAR:
```
BiAs2PRh
1.0
4.615 0.000 0.000
0.000 4.615 0.000
0.000 0.000 5.300
Bi As P Rh
1 2 1 1
Cartesian
0.000 0.000 0.000 Bi
0.000 2.307 2.650 As
2.307 0.000 2.650 As
0.000 0.000 2.650 P
2.307 2.307 0.000 Rh
```

Output
Symmetry   P4/mmm (123)

***

Need the numbers? Relative energies in meV per atom: arrangement P 0; arrangement Q 485.